Record 1
Here is KPa2AgO8 after structural relaxation from the Alexandria database. Energies are from PBE-GGA.

Structure (POSCAR):
```
KPa2AgO8
1.0
-1.8971 1.4712 -4.8482
4.8795 -2.3001 0.4112
-3.1614 -6.8577 -0.8439
K Pa Ag O
1 2 1 8
Direct
0.0000 0.0000 0.5000
0.6667 0.3333 0.1259
0.3333 0.6667 0.8741
0.0000 0.0000 0.0000
0.8180 0.6360 0.8657
0.3640 0.1820 0.8657
0.8180 0.1820 0.8657
0.1820 0.3640 0.1343
0.6360 0.8180 0.1343
0.1820 0.8180 0.1343
0.6667 0.3333 0.3715
0.3333 0.6667 0.6285
```

* crystal system: trigonal
* formation energy (no corrections): -1.92 eV/atom

Record 2
Here is KPaAgO5 after structural relaxation from the Alexandria database. Energies are from PBE-GGA.

Structure (POSCAR):
```
KPaAgO5
1.0
6.0251 -0.9050 0.2946
-2.6244 5.4985 0.2946
-0.9728 -1.3140 8.1226
K Pa Ag O
2 2 2 10
Direct
0.3075 0.6925 0.2500
0.6925 0.3075 0.7500
0.0000 0.0000 0.5000
0.0000 0.0000 0.0000
0.6701 0.3299 0.2500
0.3299 0.6701 0.7500
0.0625 0.9375 0.2500
0.9375 0.0625 0.7500
0.8313 0.1898 0.0710
0.1687 0.8102 0.9290
0.8102 0.1687 0.4290
0.1898 0.8313 0.5710
0.5810 0.5585 0.4335
0.4190 0.4415 0.5665
0.4415 0.4190 0.0665
0.5585 0.5810 0.9335
```

* crystal system: monoclinic
* formation energy (no corrections): -1.80 eV/atom

Record 3
Here is K2Pa2AgO7 after structural relaxation from the Alexandria database. Energies are from PBE-GGA.

Structure (POSCAR):
```
K2Pa2AgO7
1.0
4.3879 -0.0025 0.0115
0.0029 4.3879 0.0115
2.1666 2.1639 11.1305
K Pa Ag O
2 2 1 7
Direct
0.8087 0.8087 0.3826
0.1913 0.1913 0.6174
0.5964 0.5964 0.8068
0.4036 0.4036 0.1932
0.0000 0.0000 0.0000
0.5000 0.5000 0.0000
0.3124 0.3124 0.3756
0.6876 0.6876 0.6244
0.9058 0.4061 0.1887
0.4061 0.9058 0.1887
0.5939 0.0942 0.8113
0.0942 0.5939 0.8113
```

* crystal system: tetragonal
* formation energy (no corrections): -2.45 eV/atom

Record 4
Here is K2Ag2PdO6 after structural relaxation from the Alexandria database. Energies are from PBE-GGA.

Structure (POSCAR):
```
K2Ag2PdO6
1.0
6.1343 0.0000 0.0000
3.0672 5.3125 0.0000
3.0672 1.7708 5.8078
K Ag Pd O
2 2 1 6
Direct
0.7943 0.7943 0.6172
0.2057 0.2057 0.3828
0.3950 0.3950 0.8150
0.6050 0.6050 0.1850
0.0000 0.0000 0.0000
0.7818 0.7818 0.2225
0.2140 0.7818 0.2225
0.7818 0.2140 0.2225
0.2182 0.7860 0.7775
0.7860 0.2182 0.7775
0.2182 0.2182 0.7775
```

* crystal system: trigonal
* formation energy (no corrections): -0.38 eV/atom

Record 5
Here is KAgPdO2 after structural relaxation from the Alexandria database. Energies are from PBE-GGA.

Structure (POSCAR):
```
KAgPdO2
1.0
-0.0272 3.6300 -2.9168
-6.0869 0.8763 1.1474
4.5612 3.5782 4.4105
K Ag Pd O
2 2 2 4
Direct
0.1826 0.7500 0.5000
0.8174 0.2500 0.5000
0.0000 0.0000 0.0000
0.0000 0.5000 0.0000
0.5000 0.7500 0.0000
0.5000 0.2500 0.0000
0.5264 0.8985 0.7969
0.5264 0.6015 0.2031
0.4736 0.3985 0.7969
0.4736 0.1015 0.2031
```

* crystal system: orthorhombic
* formation energy (no corrections): -0.54 eV/atom

Record 6
Here is K2AgPdO4 after structural relaxation from the Alexandria database. Energies are from PBE-GGA.

Structure (POSCAR):
```
K2AgPdO4
1.0
-4.2909 3.1671 -1.4853
-1.0600 0.2409 -6.7412
-7.7564 -5.7271 -0.1217
K Ag Pd O
4 2 2 8
Direct
0.1821 0.0000 0.6357
0.8179 0.0000 0.3643
0.5679 0.5000 0.8643
0.9321 0.5000 0.1357
0.2500 0.5000 0.5000
0.5000 0.0000 0.0000
0.7500 0.5000 0.5000
0.0000 0.0000 0.0000
0.2472 0.7863 0.0996
0.1330 0.2137 0.9004
0.9665 0.7863 0.9004
0.6533 0.2137 0.0996
0.5028 0.7137 0.4004
0.6170 0.2863 0.5996
0.7835 0.7137 0.5996
0.0967 0.2863 0.4004
```

* crystal system: orthorhombic
* formation energy (no corrections): -0.45 eV/atom

Record 7
Here is K2PmAg2O4 after structural relaxation from the Alexandria database. Energies are from PBE-GGA.

Structure (POSCAR):
```
K2PmAg2O4
1.0
3.5609 0.0000 0.0000
0.0000 6.5714 0.4769
-1.7805 -2.1680 7.3167
K Pm Ag O
2 1 2 4
Direct
0.1087 0.5512 0.2175
0.8913 0.4488 0.7825
0.0000 0.0000 0.0000
0.6992 0.0747 0.3984
0.3008 0.9253 0.6016
0.1581 0.1928 0.3162
0.8419 0.8072 0.6838
0.5289 0.7871 0.0578
0.4711 0.2129 0.9422
```

* crystal system: monoclinic
* formation energy (no corrections): -1.29 eV/atom

Record 8
Here is KPm2AgO4 after structural relaxation from the Alexandria database. Energies are from PBE-GGA.

Structure (POSCAR):
```
KPm2AgO4
1.0
-1.0154 3.1193 -1.6616
-3.2879 -0.2850 5.5432
9.2356 6.0915 5.7912
K Pm Ag O
2 4 2 8
Direct
0.0628 0.1256 0.7500
0.9372 0.8744 0.2500
0.3688 0.7376 0.5633
0.6312 0.2624 0.0633
0.6312 0.2624 0.4367
0.3688 0.7376 0.9367
0.7690 0.5380 0.7500
0.2310 0.4620 0.2500
0.2469 0.4938 0.0830
0.7531 0.5062 0.5830
0.7531 0.5062 0.9170
0.2469 0.4938 0.4170
0.0000 0.0000 0.5000
0.0000 0.0000 0.0000
0.4142 0.8284 0.7500
0.5858 0.1716 0.2500
```

* crystal system: orthorhombic
* formation energy (no corrections): -2.28 eV/atom

Record 9
Here is KPr2AgO4 after structural relaxation from the Alexandria database. Energies are from PBE-GGA.

Structure (POSCAR):
```
KPr2AgO4
1.0
-2.7210 0.8846 2.4171
3.4693 -4.8467 2.7774
7.5365 8.4782 5.3812
K Pr Ag O
2 4 2 8
Direct
0.0605 0.1210 0.7500
0.9395 0.8790 0.2500
0.3695 0.7390 0.5636
0.6305 0.2610 0.0636
0.6305 0.2610 0.4364
0.3695 0.7390 0.9364
0.7659 0.5317 0.7500
0.2341 0.4683 0.2500
0.2463 0.4925 0.0842
0.7537 0.5075 0.5842
0.7537 0.5075 0.9158
0.2463 0.4925 0.4158
0.0000 0.0000 0.5000
0.0000 0.0000 0.0000
0.4152 0.8303 0.7500
0.5848 0.1697 0.2500
```

* crystal system: orthorhombic
* formation energy (no corrections): -2.23 eV/atom

Record 10
Here is KPr2AgO5 after structural relaxation from the Alexandria database. Energies are from PBE-GGA.

Structure (POSCAR):
```
KPr2AgO5
1.0
-2.0446 -0.8837 -5.5929
5.2160 -4.3378 -1.2214
-3.8506 -5.2607 2.2389
K Pr Ag O
2 4 2 10
Direct
0.0000 0.5000 0.5000
0.0000 0.0000 0.0000
0.5000 0.6774 0.1774
0.5000 0.1774 0.3226
0.5000 0.8226 0.6774
0.5000 0.3226 0.8226
0.0000 0.0000 0.5000
0.0000 0.5000 0.0000
0.5000 0.5000 0.5000
0.5000 0.0000 0.0000
0.2546 0.1344 0.6344
0.2546 0.8656 0.3656
0.2546 0.3656 0.1344
0.2546 0.6344 0.8656
0.7454 0.1344 0.6344
0.7454 0.6344 0.8656
0.7454 0.8656 0.3656
0.7454 0.3656 0.1344
```

* crystal system: tetragonal
* formation energy (no corrections): -2.11 eV/atom

Record 11
Here is K2AgPtO4 after structural relaxation from the Alexandria database. Energies are from PBE-GGA.

Structure (POSCAR):
```
K2AgPtO4
1.0
-0.3836 4.0130 -3.8901
-6.4795 1.0946 -2.2657
-1.4492 8.3361 4.7085
K Ag Pt O
4 2 2 8
Direct
0.1813 0.0000 0.6374
0.8187 0.0000 0.3626
0.5687 0.5000 0.8626
0.9313 0.5000 0.1374
0.2500 0.5000 0.5000
0.5000 0.0000 0.0000
0.7500 0.5000 0.5000
0.0000 0.0000 0.0000
0.2531 0.7783 0.0881
0.1196 0.2217 0.9119
0.9685 0.7783 0.9119
0.6588 0.2217 0.0881
0.4969 0.7217 0.4119
0.6304 0.2783 0.5881
0.7815 0.7217 0.5881
0.0912 0.2783 0.4119
```

* crystal system: orthorhombic
* formation energy (no corrections): -0.52 eV/atom

Record 12
Here is K2PuAgO4 after structural relaxation from the Alexandria database. Energies are from PBE-GGA.

Structure (POSCAR):
```
K2PuAgO4
1.0
-1.8936 -2.3316 -2.1492
-3.0400 -1.9856 4.8327
-4.0537 4.6854 -1.5115
K Pu Ag O
2 1 1 4
Direct
0.5000 0.0000 0.5000
0.0000 0.5000 0.5000
0.5000 0.5000 0.0000
0.0000 0.0000 0.0000
0.5000 0.3339 0.2419
0.5000 0.6661 0.7581
0.0000 0.2945 0.8444
0.0000 0.7055 0.1556
```

* crystal system: monoclinic
* formation energy (no corrections): -1.83 eV/atom

Record 13
Here is K3PuAg2O6 after structural relaxation from the Alexandria database. Energies are from PBE-GGA.

Structure (POSCAR):
```
K3PuAg2O6
1.0
-1.9940 -6.0297 -1.2717
4.2811 3.3207 -3.5490
3.9276 -1.5738 4.3605
K Pu Ag O
3 1 2 6
Direct
0.1848 0.8152 0.5000
0.8152 0.1848 0.5000
0.5000 0.5000 0.5000
0.0000 0.0000 0.0000
0.3543 0.6457 0.0000
0.6457 0.3543 0.0000
0.9059 0.6476 0.8249
0.8495 0.8495 0.2518
0.0941 0.3524 0.1751
0.6476 0.9059 0.8249
0.1505 0.1505 0.7482
0.3524 0.0941 0.1751
```

* crystal system: monoclinic
* formation energy (no corrections): -1.52 eV/atom

Record 14
Here is K3PuAg2O8 after structural relaxation from the Alexandria database. Energies are from PBE-GGA.

Structure (POSCAR):
```
K3PuAg2O8
1.0
-1.4447 -5.7633 0.4267
1.8970 2.2186 -5.1927
7.7211 -1.7830 2.0589
K Pu Ag O
3 1 2 8
Direct
0.3333 0.6667 0.6368
0.6667 0.3333 0.3632
0.0000 0.0000 0.0000
0.0000 0.0000 0.5000
0.3333 0.6667 0.2022
0.6667 0.3333 0.7978
0.3333 0.6667 0.9601
0.6667 0.3333 0.0399
0.1568 0.8432 0.3591
0.8432 0.1568 0.6409
0.1568 0.3136 0.3591
0.8432 0.6864 0.6409
0.6864 0.8432 0.3591
0.3136 0.1568 0.6409
```

* crystal system: trigonal
* formation energy (no corrections): -1.14 eV/atom

Record 15
Here is KPu2AgO8 after structural relaxation from the Alexandria database. Energies are from PBE-GGA.

Structure (POSCAR):
```
KPu2AgO8
1.0
-1.4206 5.7695 0.8020
0.4089 -3.6712 4.7227
6.4378 1.5005 0.6089
K Pu Ag O
1 2 1 8
Direct
0.0000 0.0000 0.5000
0.6667 0.3333 0.0603
0.3333 0.6667 0.9397
0.0000 0.0000 0.0000
0.9363 0.6121 0.8668
0.3879 0.3242 0.8668
0.6758 0.0637 0.8668
0.0637 0.3879 0.1332
0.6121 0.6758 0.1332
0.3242 0.9363 0.1332
0.6667 0.3333 0.3396
0.3333 0.6667 0.6604
```

* crystal system: trigonal
* formation energy (no corrections): -1.71 eV/atom

Record 16
Here is KPuAg2O8 after structural relaxation from the Alexandria database. Energies are from PBE-GGA.

Structure (POSCAR):
```
KPuAg2O8
1.0
6.3799 1.3325 0.0000
-1.6353 6.3091 0.0000
-2.3723 -3.8208 4.7173
K Pu Ag O
1 1 2 8
Direct
0.2500 0.7500 0.5000
0.0000 0.0000 0.0000
0.7500 0.2500 0.5000
0.5000 0.5000 0.0000
0.3116 0.0285 0.2831
0.2567 0.3613 0.1046
0.2567 0.1521 0.8954
0.7453 0.0285 0.7169
0.8479 0.7433 0.1046
0.9715 0.2547 0.2831
0.9715 0.6884 0.7169
0.6387 0.7433 0.8954
```

* crystal system: tetragonal
* formation energy (no corrections): -0.91 eV/atom

Record 17
Here is K4Pu3AgO12 after structural relaxation from the Alexandria database. Energies are from PBE-GGA.

Structure (POSCAR):
```
K4Pu3AgO12
1.0
7.4627 0.0000 0.0000
-2.4876 7.0359 0.0000
-2.4876 -3.5180 6.0933
K Pu Ag O
4 3 1 12
Direct
0.5000 0.5000 0.5000
0.0000 0.0000 0.5000
0.5000 0.0000 0.0000
0.0000 0.5000 0.0000
0.5000 0.0000 0.5000
0.5000 0.5000 0.0000
0.0000 0.5000 0.5000
0.0000 0.0000 0.0000
0.2500 0.5000 0.7500
0.7193 0.0000 0.7193
0.2807 0.0000 0.2807
0.7500 0.5000 0.2500
0.7193 0.7193 0.0000
0.2807 0.2807 0.0000
0.7500 0.2500 0.5000
0.2500 0.7500 0.5000
0.5000 0.2500 0.7500
0.0000 0.7193 0.7193
0.5000 0.7500 0.2500
0.0000 0.2807 0.2807
```

* crystal system: cubic
* formation energy (no corrections): -2.20 eV/atom

Record 18
Here is KRb5Ag2O after structural relaxation from the Alexandria database. Energies are from PBE-GGA.

Structure (POSCAR):
```
KRb5Ag2O
1.0
-4.5641 -5.0410 4.6808
1.8716 -2.2112 -7.7305
7.9957 1.0578 1.7615
K Rb Ag O
1 5 2 1
Direct
0.0000 0.7734 0.7734
0.4656 0.2318 0.2318
0.5344 0.7662 0.7662
0.0000 0.7662 0.2318
0.0000 0.2318 0.7662
0.0000 0.2321 0.2321
0.5000 0.2504 0.7504
0.5000 0.7504 0.2504
0.0000 0.9977 0.9977
```

* crystal system: tetragonal
* formation energy (no corrections): -0.30 eV/atom

Record 19
Here is K6RbAgO after structural relaxation from the Alexandria database. Energies are from PBE-GGA.

Structure (POSCAR):
```
K6RbAgO
1.0
8.6165 0.0215 0.0047
4.3269 7.4570 -0.0077
0.0055 -0.0133 8.1128
K Rb Ag O
6 1 1 1
Direct
0.0668 0.3685 0.3068
0.3684 0.0671 0.6931
0.5652 0.3680 0.6926
0.0648 0.5665 0.6931
0.3680 0.5650 0.3073
0.5665 0.0648 0.3070
0.0010 0.0007 0.0000
0.6658 0.6661 0.5000
0.3333 0.3333 0.5000
```

* crystal system: monoclinic
* formation energy (no corrections): -0.28 eV/atom

Record 20
Here is KRb2AgO2 after structural relaxation from the Alexandria database. Energies are from PBE-GGA.

Structure (POSCAR):
```
KRb2AgO2
1.0
-0.4622 1.8501 -3.8765
-6.1042 -0.5545 0.4632
-0.5623 10.3883 5.0250
K Rb Ag O
2 4 2 4
Direct
0.5000 0.5000 0.0000
0.0000 0.0000 0.5000
0.5000 0.1173 0.2419
0.0000 0.6173 0.2581
0.5000 0.8827 0.7581
0.0000 0.3827 0.7419
0.0000 0.0000 0.0000
0.5000 0.5000 0.5000
0.5000 0.7590 0.3870
0.5000 0.2410 0.6130
0.0000 0.7410 0.8870
0.0000 0.2590 0.1130
```

* crystal system: orthorhombic
* formation energy (no corrections): -0.90 eV/atom

Record-wise E_tot values, in eV per cell: -85.65, -105.23, -88.19, -47.01, -43.52, -67.34, -44.06, -102.98, -102.36, -114.54, -70.11, -53.86, -71.32, -78.89, -92.77, -71.70, -153.83, -19.25, -17.87, -42.36
Record-wise spin magnetization values, in μB per formula unit: 0.000, 0.000, 0.000, 3.483, 0.000, 0.939, 0.308, 0.000, 0.000, 0.000, 1.073, 3.000, 0.938, 4.513, 1.990, 1.068, 5.000, 0.000, 0.000, 0.000